(1)
! Ac2ZnGa4Ag3 | Alexandria | PBE | optimized geometry; values from VASP
&SYSTEM
  ibrav = 0, nat = 10, ntyp = 4
/
ATOMIC_SPECIES
Ac 227.00 Ac.upf
Zn 65.41 Zn.upf
Ga 69.72 Ga.upf
Ag 107.87 Ag.upf
ATOMIC_POSITIONS crystal
Ac 0.0000 0.5000 0.2462
Ac 0.5000 0.0000 0.7538
Zn 0.5000 0.5000 0.0000
Ga 0.0000 0.0000 0.5000
Ga 0.0000 0.5000 0.8724
Ga 0.5000 0.0000 0.1276
Ga 0.5000 0.5000 0.5000
Ag 0.0000 0.0000 0.0000
Ag 0.0000 0.5000 0.6304
Ag 0.5000 0.0000 0.3696
CELL_PARAMETERS angstrom
4.5622 0.0000 0.0000
0.0000 4.5622 0.0000
0.0000 0.0000 10.7589
! * total moment: 0.00 μB/f.u.
! * formation enthalpy at 0 K: -389.9 meV/atom
! * SG: P-4m2 (115)
! * E: -34.05 eV/cell
! * crystal system: tetragonal

(2)
! LiEr2Pd | Alexandria | PBE | optimized geometry; values from VASP
&SYSTEM
  ibrav = 0, nat = 4, ntyp = 3
/
ATOMIC_SPECIES
Li 6.94 Li.upf
Er 167.26 Er.upf
Pd 106.42 Pd.upf
ATOMIC_POSITIONS crystal
Li 0.0000 0.0000 0.0000
Er 0.0000 0.5000 0.5000
Er 0.5000 0.0000 0.5000
Pd 0.5000 0.5000 0.0000
CELL_PARAMETERS angstrom
4.9036 0.0000 0.0000
0.0000 4.9036 0.0000
0.0000 0.0000 3.6171
! * total moment: 0.00 μB/f.u.
! * formation enthalpy at 0 K: -423.6 meV/atom
! * SG: P4/mmm (123)
! * E: -17.93 eV/cell
! * crystal system: tetragonal

(3)
! TbDy2Er3Te6 | Alexandria | PBE | optimized geometry; values from VASP
&SYSTEM
  ibrav = 0, nat = 12, ntyp = 4
/
ATOMIC_SPECIES
Tb 158.93 Tb.upf
Dy 162.50 Dy.upf
Er 167.26 Er.upf
Te 127.60 Te.upf
ATOMIC_POSITIONS crystal
Tb 0.0000 0.0000 0.0000
Dy 0.3340 0.3340 0.6682
Dy 0.6660 0.6660 0.3318
Er 0.0000 0.0000 0.5000
Er 0.3341 0.3341 0.1669
Er 0.6659 0.6659 0.8331
Te 0.1663 0.1663 0.5847
Te 0.1681 0.1681 0.0815
Te 0.4993 0.4993 0.2531
Te 0.5007 0.5007 0.7469
Te 0.8319 0.8319 0.9185
Te 0.8337 0.8337 0.4153
CELL_PARAMETERS angstrom
9.4661 -2.1589 0.0000
9.4661 2.1589 0.0000
-2.0669 0.0000 8.4712
! * total moment: 0.00 μB/f.u.
! * formation energy from raw total energies: -1.250 eV per atom
! * SG: C2/m (12)
! * E: -61.37 eV/cell
! * crystal system: monoclinic

(4)
! MgAsRh4 | Alexandria | PBE | optimized geometry; values from VASP
&SYSTEM
  ibrav = 0, nat = 6, ntyp = 3
/
ATOMIC_SPECIES
Mg 24.30 Mg.upf
As 74.92 As.upf
Rh 102.91 Rh.upf
ATOMIC_POSITIONS crystal
Mg 0.0000 0.0000 0.0000
As 0.2500 0.2500 0.2500
Rh 0.1253 0.6249 0.6249
Rh 0.6249 0.1253 0.6249
Rh 0.6249 0.6249 0.1253
Rh 0.6249 0.6249 0.6249
CELL_PARAMETERS angstrom
0.0000 3.6592 3.6592
3.6592 0.0000 3.6592
3.6592 3.6592 0.0000
! * total moment: 0.00 μB/f.u.
! * formation enthalpy at 0 K: 43.9 meV/atom
! * SG: F-43m (216)
! * E: -35.39 eV/cell
! * crystal system: cubic